## w
Computed, not measured: a relaxed Dy3Er4Th crystal at the PBE-GGA level of DFT.

Unit cell a=11.291 b=7.190 c=6.215 alpha=90.00 beta=90.00 gamma=90.00
Space group Pmn2_1 (No. 31)
Unique sites:
1 Dy 0.000 0.123 0.000
2 Dy 0.249 0.123 0.331
3 Er 0.000 0.375 0.501
4 Er 0.000 0.627 0.001
5 Er 0.249 0.626 0.341
6 Th 0.000 0.876 0.503

Calculated values
spin magnetization	0.00	μB per formula unit
V	31.5	Å³/atom

## x
Computed, not measured: a relaxed Dy3Er4Th crystal at the PBE-GGA level of DFT.

Unit cell a=23.189 b=3.434 c=6.670 alpha=90.00 beta=106.65 gamma=90.00
Space group C2/m (No. 12)
Unique sites:
1 Dy 0.000 0.000 0.000
2 Dy 0.124 0.000 0.866
3 Er 0.125 0.000 0.385
4 Er 0.241 0.500 0.739
5 Th 0.000 0.500 0.500

Calculated values
spin magnetization	0.00	μB per formula unit
V	31.8	Å³/atom

Most stable to least stable, the ends of the list are w and x.

## w
Computed, not measured: a relaxed DyErTh crystal at the PBE-GGA level of DFT.

Unit cell a=3.4691 b=3.4691 c=18.3916 alpha=90.00 beta=90.00 gamma=120.00
Space group P6_3mc (No. 186)
Unique sites:
1 Dy 0.0000 0.0000 0.0000
2 Er 0.3333 0.6667 0.3460
3 Th 0.3333 0.6667 0.1637

Calculated values
spin magnetization	0.00	μB per formula unit
V	31.9	Å³/atom

## x
Computed, not measured: a relaxed DyErTh crystal at the PBE-GGA level of DFT.

Unit cell a=6.184 b=3.568 c=17.302 alpha=90.00 beta=96.78 gamma=90.00
Space group C2/m (No. 12)
Unique sites:
1 Dy 0.194 0.000 0.082
2 Er 0.083 0.000 0.750
3 Th 0.139 0.500 0.417

Calculated values
spin magnetization	0.00	μB per formula unit
V	31.6	Å³/atom

## y
Computed, not measured: a relaxed DyErTh crystal at the PBE-GGA level of DFT.

Unit cell a=3.568 b=3.568 c=14.899 alpha=90.00 beta=90.00 gamma=90.00
Space group I4mm (No. 107)
Unique sites:
1 Dy 0.000 0.000 0.000
2 Er 0.000 0.000 0.324
3 Th 0.000 0.000 0.662

Calculated values
spin magnetization	0.00	μB per formula unit
V	31.6	Å³/atom

Most stable to least stable, the ends of the list are x and w.

## w
Computed, not measured: a relaxed DyEr2Th crystal at the PBE-GGA level of DFT.

Unit cell a=3.538 b=3.538 c=10.023 alpha=90.00 beta=90.00 gamma=90.00
Space group P4/mmm (No. 123)
Unique sites:
1 Dy 0.000 0.000 0.000
2 Er 0.500 0.500 0.254
3 Th 0.000 0.000 0.500

Calculated values
spin magnetization	0.00	μB per formula unit
V	31.4	Å³/atom

## x
Computed, not measured: a relaxed DyEr2Th crystal at the PBE-GGA level of DFT.

Unit cell a=5.006 b=5.006 c=4.974 alpha=90.00 beta=90.00 gamma=90.00
Space group P4/mmm (No. 123)
Unique sites:
1 Dy 0.000 0.000 0.000
2 Er 0.000 0.500 0.500
3 Th 0.500 0.500 0.000

Calculated values
spin magnetization	0.00	μB per formula unit
V	31.2	Å³/atom

## y
Computed, not measured: a relaxed DyEr2Th crystal at the PBE-GGA level of DFT.

Unit cell a=7.126 b=7.134 c=9.883 alpha=90.00 beta=90.00 gamma=90.00
Space group Fmmm (No. 69)
Unique sites:
1 Dy 0.000 0.000 0.000
2 Er 0.250 0.250 0.250
3 Th 0.000 0.000 0.500

Calculated values
spin magnetization	0.00	μB per formula unit
V	31.4	Å³/atom

## z
Computed, not measured: a relaxed DyEr2Th crystal at the PBE-GGA level of DFT.

Unit cell a=6.169 b=3.569 c=11.322 alpha=90.00 beta=90.01 gamma=90.00
Space group C2/m (No. 12)
Unique sites:
1 Dy 0.000 0.000 0.000
2 Er 0.167 0.500 0.746
3 Th 0.000 0.000 0.500

Calculated values
spin magnetization	0.00	μB per formula unit
V	31.2	Å³/atom

Most stable to least stable, the ends of the list are z and y.

## w
Computed, not measured: a relaxed DyEr2Th crystal at the PBE-GGA level of DFT.

Unit cell a=3.5500 b=3.5500 c=34.3135 alpha=90.00 beta=90.00 gamma=120.00
Space group R-3m (No. 166, hexagonal axes)
Unique sites:
1 Dy 0.0000 0.0000 0.0000
2 Er 0.0000 0.0000 0.2489
3 Th 0.0000 0.0000 0.5000

Calculated values
spin magnetization	0.00	μB per formula unit
V	31.2	Å³/atom

## x
Computed, not measured: a relaxed DyEr2Th crystal at the PBE-GGA level of DFT.

Unit cell a=3.5447 b=3.5447 c=34.5098 alpha=90.00 beta=90.00 gamma=120.00
Space group R3m (No. 160, hexagonal axes)
Unique sites:
1 Dy 0.0000 0.0000 0.0000
2 Er 0.0000 0.0000 0.4159
3 Er 0.0000 0.0000 0.5839
4 Th 0.0000 0.0000 0.1658

Calculated values
spin magnetization	0.00	μB per formula unit
V	31.3	Å³/atom

Most stable to least stable, the ends of the list are w and x.

## w
Computed, not measured: a relaxed Dy8Er2Th3 crystal at the PBE-GGA level of DFT.

Unit cell a=22.083 b=6.813 c=6.044 alpha=90.00 beta=95.54 gamma=90.00
Space group C2/m (No. 12)
Unique sites:
1 Dy 0.118 0.000 0.347
2 Dy 0.124 0.253 0.853
3 Dy 0.161 0.500 0.353
4 Er 0.245 0.000 0.107
5 Th 0.000 0.260 0.500
6 Th 0.000 0.500 0.000

Calculated values
spin magnetization	0.00	μB per formula unit
V	34.8	Å³/atom

## x
Computed, not measured: a relaxed Dy8Er2Th3 crystal at the PBE-GGA level of DFT.

Unit cell a=14.802 b=9.244 c=6.597 alpha=90.00 beta=99.40 gamma=90.00
Space group C2/m (No. 12)
Unique sites:
1 Dy 0.083 0.000 0.375
2 Dy 0.113 0.178 0.934
3 Dy 0.196 0.500 0.785
4 Er 0.211 0.500 0.290
5 Th 0.000 0.331 0.500
6 Th 0.000 0.500 0.000

Calculated values
spin magnetization	0.00	μB per formula unit
V	34.3	Å³/atom

Most stable to least stable, the ends of the list are x and w.

## w
Computed, not measured: a relaxed Dy8ErTh2 crystal at the PBE-GGA level of DFT.

Unit cell a=8.953 b=15.959 c=5.937 alpha=90.00 beta=123.00 gamma=90.00
Space group C2/m (No. 12)
Unique sites:
1 Dy 0.000 0.209 0.000
2 Dy 0.077 0.500 0.796
3 Dy 0.216 0.116 0.673
4 Er 0.000 0.000 0.000
5 Th 0.000 0.306 0.500

Calculated values
spin magnetization	0.00	μB per formula unit
V	32.3	Å³/atom

## x
Computed, not measured: a relaxed Dy8ErTh2 crystal at the PBE-GGA level of DFT.

Unit cell a=6.172 b=7.914 c=7.929 alpha=107.49 beta=104.85 gamma=97.50
Space group P-1 (No. 2)
Unique sites:
1 Dy 0.045 0.402 0.181
2 Dy 0.134 0.224 0.545
3 Dy 0.317 0.866 0.267
4 Dy 0.411 0.685 0.643
5 Er 0.500 0.500 0.000
6 Th 0.229 0.045 0.913

Calculated values
spin magnetization	0.00	μB per formula unit
V	31.6	Å³/atom

Most stable to least stable, the ends of the list are x and w.

## w
Computed, not measured: a relaxed Dy4ErTh2 crystal at the PBE-GGA level of DFT.

Unit cell a=3.564 b=7.895 c=8.720 alpha=68.45 beta=89.93 gamma=76.97
Space group P-1 (No. 2)
Unique sites:
1 Dy 0.076 0.348 0.219
2 Dy 0.355 0.790 0.071
3 Er 0.500 0.500 0.500
4 Th 0.213 0.073 0.640

Calculated values
spin magnetization	0.00	μB per formula unit
V	31.6	Å³/atom

## x
Computed, not measured: a relaxed Dy4ErTh2 crystal at the PBE-GGA level of DFT.

Unit cell a=5.531 b=5.531 c=16.739 alpha=90.00 beta=90.00 gamma=90.00
Space group I4/mmm (No. 139)
Unique sites:
1 Dy 0.000 0.000 0.182
2 Dy 0.000 0.500 0.000
3 Er 0.000 0.000 0.000
4 Th 0.000 0.000 0.387

Calculated values
spin magnetization	0.20	μB per formula unit
V	36.6	Å³/atom

Most stable to least stable, the ends of the list are w and x.

## w
Computed, not measured: a relaxed DyErTh2 crystal at the PBE-GGA level of DFT.

Unit cell a=5.988 b=27.799 c=3.510 alpha=90.00 beta=94.98 gamma=90.00
Space group C2/c (No. 15)
Unique sites:
1 Dy 0.250 0.250 0.000
2 Er 0.000 0.151 0.250
3 Th 0.247 0.447 0.037

Calculated values
spin magnetization	0.00	μB per formula unit
V	36.4	Å³/atom

## x
Computed, not measured: a relaxed DyErTh2 crystal at the PBE-GGA level of DFT.

Unit cell a=3.5638 b=3.5638 c=34.3710 alpha=90.00 beta=90.00 gamma=120.00
Space group R-3m (No. 166, hexagonal axes)
Unique sites:
1 Dy 0.0000 0.0000 0.0000
2 Er 0.0000 0.0000 0.5000
3 Th 0.0000 0.0000 0.2497

Calculated values
spin magnetization	0.00	μB per formula unit
V	31.5	Å³/atom

Most stable to least stable, the ends of the list are x and w.

## w
Computed, not measured: a relaxed DyErTh2 crystal at the PBE-GGA level of DFT.

Unit cell a=7.972 b=7.972 c=7.972 alpha=90.00 beta=90.00 gamma=90.00
Space group Fm-3m (No. 225)
Unique sites:
1 Dy 0.000 0.000 0.000
2 Er 0.000 0.000 0.500
3 Th 0.250 0.250 0.250

Calculated values
spin magnetization	0.00	μB per formula unit
V	31.7	Å³/atom

## x
Computed, not measured: a relaxed DyErTh2 crystal at the PBE-GGA level of DFT.

Unit cell a=5.015 b=5.015 c=5.046 alpha=90.00 beta=90.00 gamma=90.00
Space group P4/mmm (No. 123)
Unique sites:
1 Dy 0.000 0.000 0.000
2 Er 0.500 0.500 0.000
3 Th 0.000 0.500 0.500

Calculated values
spin magnetization	0.00	μB per formula unit
V	31.7	Å³/atom

Most stable to least stable, the ends of the list are x and w.

## w
Computed, not measured: a relaxed DyErTh2 crystal at the PBE-GGA level of DFT.

Unit cell a=3.5536 b=3.5536 c=34.7076 alpha=90.00 beta=90.00 gamma=120.00
Space group R3m (No. 160, hexagonal axes)
Unique sites:
1 Dy 0.0000 0.0000 0.0000
2 Er 0.0000 0.0000 0.1700
3 Th 0.0000 0.0000 0.5849
4 Th 0.0000 0.0000 0.7518

Calculated values
spin magnetization	0.00	μB per formula unit
V	31.6	Å³/atom

## x
Computed, not measured: a relaxed DyErTh2 crystal at the PBE-GGA level of DFT.

Unit cell a=5.035 b=5.045 c=10.027 alpha=90.00 beta=90.05 gamma=90.00
Space group P2_1/m (No. 11)
Unique sites:
1 Dy 0.000 0.250 0.128
2 Er 0.500 0.250 0.872
3 Th 0.000 0.250 0.624
4 Th 0.500 0.250 0.376

Calculated values
spin magnetization	0.00	μB per formula unit
V	31.8	Å³/atom

Most stable to least stable, the ends of the list are x and w.